1.
# PBE PmZn12Cu7, optimized geometry
data_PmZn12Cu7
_chemical_formula_sum 'Pm2 Zn24 Cu14'
_cell_length_a 8.908
_cell_length_b 8.908
_cell_length_c 8.908
_cell_angle_alpha 90.00
_cell_angle_beta 90.00
_cell_angle_gamma 90.00
_space_group_name_H-M_alt 'I m -3'
_space_group_IT_number 204
_space_group_name_Hall '-I 2 2 3'
loop_
_atom_site_label
_atom_site_fract_x
_atom_site_fract_y
_atom_site_fract_z
Pm1 0.000 0.000 0.000
Zn1 0.000 0.348 0.243
Cu1 0.000 0.000 0.500
Cu2 0.250 0.250 0.250
# **ΔE_f**: 161 meV/atom
# **Calculated total energy**: -2.27 eV per atom
# **D(E_F)**: 4.3 states/eV/f.u.

2.
# PBE SmYGaAu, optimized geometry
data_SmYGaAu
_chemical_formula_sum 'Sm2 Y2 Ga2 Au2'
_cell_length_a 4.552
_cell_length_b 3.862
_cell_length_c 11.307
_cell_angle_alpha 90.00
_cell_angle_beta 90.00
_cell_angle_gamma 90.00
_space_group_name_H-M_alt 'A m m 2'
_space_group_IT_number 38
loop_
_space_group_symop_operation_xyz
'x,y,z'
'-x,-y,z'
'-x,y,z'
'x,-y,z'
'x,y+1/2,z+1/2'
'-x,-y+1/2,z+1/2'
'-x,y+1/2,z+1/2'
'x,-y+1/2,z+1/2'
loop_
_atom_site_label
_atom_site_fract_x
_atom_site_fract_y
_atom_site_fract_z
Sm1 0.000 0.000 0.000
Y1 0.500 0.000 0.286
Ga1 0.000 0.000 0.729
Au1 0.500 0.000 0.569
# **ΔE_f**: -709 meV/atom
# **Calculated total energy**: -5.08 eV per atom
# **D(E_F)**: 3.7 states/eV/f.u.

3.
# PBE Sb2RhCl, optimized geometry
data_Sb2RhCl
_chemical_formula_sum 'Sb2 Rh1 Cl1'
_cell_length_a 4.214
_cell_length_b 4.214
_cell_length_c 4.902
_cell_angle_alpha 90.00
_cell_angle_beta 90.00
_cell_angle_gamma 90.00
_space_group_name_H-M_alt 'P 4/m m m'
_space_group_IT_number 123
_space_group_name_Hall '-P 4 2'
loop_
_atom_site_label
_atom_site_fract_x
_atom_site_fract_y
_atom_site_fract_z
Sb1 0.000 0.500 0.000
Rh1 0.000 0.000 0.500
Cl1 0.500 0.500 0.500
# **Calculated total energy**: -3.97 eV per atom
# **Formation energy from raw total energies**: 0.388 eV per atom
# **D(E_F)**: 2.3 states/eV/f.u.

4.
# PBE Sr2Y2Ta, optimized geometry
data_Sr2Y2Ta
_chemical_formula_sum 'Sr4 Y4 Ta2'
_cell_length_a 4.318
_cell_length_b 4.318
_cell_length_c 18.324
_cell_angle_alpha 90.00
_cell_angle_beta 90.00
_cell_angle_gamma 90.00
_space_group_name_H-M_alt 'I 4/m m m'
_space_group_IT_number 139
_space_group_name_Hall '-I 4 2'
loop_
_atom_site_label
_atom_site_fract_x
_atom_site_fract_y
_atom_site_fract_z
Sr1 0.000 0.500 0.250
Y1 0.000 0.000 0.082
Ta1 0.000 0.000 0.500
# **ΔE_f**: 1061 meV/atom
# **Calculated total energy**: -4.57 eV per atom
# **D(E_F)**: 3.7 states/eV/f.u.

5.
# PBE MgInSi2, optimized geometry
data_MgInSi2
_chemical_formula_sum 'Mg1 In1 Si2'
_cell_length_a 4.000
_cell_length_b 4.304
_cell_length_c 4.468
_cell_angle_alpha 90.00
_cell_angle_beta 90.00
_cell_angle_gamma 90.00
_space_group_name_H-M_alt 'P m m m'
_space_group_IT_number 47
loop_
_space_group_symop_operation_xyz
'x,y,z'
'-x,-y,-z'
'-x,-y,z'
'x,y,-z'
'x,-y,-z'
'-x,y,z'
'-x,y,-z'
'x,-y,z'
loop_
_atom_site_label
_atom_site_fract_x
_atom_site_fract_y
_atom_site_fract_z
Mg1 0.000 0.000 0.000
In1 0.000 0.500 0.500
Si1 0.500 0.000 0.500
Si2 0.500 0.500 0.000
# **Calculated total energy**: -3.50 eV per atom
# **Formation energy from raw total energies**: 0.292 eV per atom
# **D(E_F)**: 1.2 states/eV/f.u.

6.
# PBE MgNb2SbSe, optimized geometry
data_MgNb2SbSe
_chemical_formula_sum 'Mg1 Nb2 Sb1 Se1'
_cell_length_a 5.162
_cell_length_b 5.162
_cell_length_c 5.372
_cell_angle_alpha 90.00
_cell_angle_beta 90.00
_cell_angle_gamma 90.00
_space_group_name_H-M_alt 'P 4/m m m'
_space_group_IT_number 123
_space_group_name_Hall '-P 4 2'
loop_
_atom_site_label
_atom_site_fract_x
_atom_site_fract_y
_atom_site_fract_z
Mg1 0.000 0.000 0.000
Nb1 0.000 0.500 0.500
Sb1 0.500 0.500 0.500
Se1 0.500 0.500 0.000
# **Calculated total energy**: -4.60 eV per atom
# **Formation energy from raw total energies**: 1.265 eV per atom
# **D(E_F)**: 8.2 states/eV/f.u.